Entry from the Alexandria database: a relaxed structure of PtRhBr2 (PBE).

## Properties
Crystal system: orthorhombic
Distance to the lowest polymorph of the same formula (meV per atom): 629
Uncorrected formation energy (eV/f.u.): 2.38

Cell: 3.160 4.189 6.000 Å, 90.00 90.00 90.00°
Element x y z (fractional)
Pt (0.000, 0.000, 0.000)
Rh (0.500, 0.000, 0.500)
Br (0.000, 0.500, 0.500)
Br (0.500, 0.500, 0.000)

---

Entry from the Alexandria database: a relaxed structure of Pm3Cu4Au2 (PBE).

## Properties
Crystal system: monoclinic

Cell: 5.780 5.780 8.459 Å, 108.75 108.75 45.32°
Element x y z (fractional)
Pm (0.000, 0.000, 0.000)
Pm (0.336, 0.336, 0.329)
Pm (0.664, 0.664, 0.671)
Cu (0.056, 0.056, 0.397)
Cu (0.271, 0.271, 0.951)
Cu (0.729, 0.729, 0.049)
Cu (0.944, 0.944, 0.603)
Au (0.384, 0.384, 0.721)
Au (0.616, 0.616, 0.279)

---

Record-wise final energy values, in eV per atom: -3.589; -4.572